Entry from the Alexandria database: Sm2Mg6Cd3 after structural relaxation (GGA-PBE).

a = 4.511 Å, b = 8.478 Å, c = 8.478 Å
α = 120.00°, β = 90.00°, γ = 90.00°
Fractional coordinates of all 11 atoms:
Mg: 0.500 0.000 0.274
Mg: 0.000 0.794 0.000
Mg: 0.000 0.000 0.794
Mg: 0.500 0.726 0.726
Mg: 0.000 0.206 0.206
Mg: 0.500 0.274 0.000
Sm: 0.000 0.667 0.333
Sm: 0.000 0.333 0.667
Cd: 0.500 0.000 0.597
Cd: 0.500 0.403 0.403
Cd: 0.500 0.597 0.000

## Properties
Crystal system ... hexagonal
Total moment ... 0.00 μB/atom
Energy of formation from the pure elements ... -0.0877 eV/atom
N(E_F) ... 6.3 states/eV per cell


Entry from the Alexandria database: PdF after structural relaxation (GGA-PBE).

a = 5.275 Å, b = 5.275 Å, c = 5.275 Å
α = 90.00°, β = 90.00°, γ = 90.00°
Fractional coordinates of all 8 atoms:
Pd: 0.500 0.000 0.500
Pd: 0.000 0.000 0.000
Pd: 0.000 0.500 0.500
Pd: 0.500 0.500 0.000
F: 0.750 0.250 0.750
F: 0.250 0.250 0.250
F: 0.250 0.750 0.750
F: 0.750 0.750 0.250

## Properties
Crystal system ... cubic
Total moment ... 0.53 μB/atom
E above lowest polymorph ... 1.125 eV per formula unit
N(E_F) ... 14.5 states/eV per cell


Entry from the Alexandria database: NaSr2Tl4 after structural relaxation (GGA-PBE).

a = 5.485 Å, b = 5.485 Å, c = 9.496 Å
α = 106.78°, β = 106.78°, γ = 90.00°
Fractional coordinates of all 7 atoms:
Tl: 0.000 0.500 0.000
Tl: 0.500 0.000 0.000
Tl: 0.171 0.171 0.342
Tl: 0.829 0.829 0.658
Sr: 0.633 0.633 0.266
Sr: 0.367 0.367 0.734
Na: 0.000 0.000 0.000

## Properties
Crystal system ... tetragonal
Total moment ... 0.00 μB/atom
Energy of formation from the pure elements ... -0.0079 eV/atom
E above lowest polymorph ... 1.867 eV per formula unit
N(E_F) ... 4.5 states/eV per cell


> What is the formula in the third record?

NaSr2Tl4


Copy entry 3 word for word.
Entry from the Alexandria database: NaSr2Tl4 after structural relaxation (GGA-PBE).

a = 5.485 Å, b = 5.485 Å, c = 9.496 Å
α = 106.78°, β = 106.78°, γ = 90.00°
Fractional coordinates of all 7 atoms:
Tl: 0.000 0.500 0.000
Tl: 0.500 0.000 0.000
Tl: 0.171 0.171 0.342
Tl: 0.829 0.829 0.658
Sr: 0.633 0.633 0.266
Sr: 0.367 0.367 0.734
Na: 0.000 0.000 0.000

## Properties
Crystal system ... tetragonal
Total moment ... 0.00 μB/atom
Energy of formation from the pure elements ... -0.0079 eV/atom
E above lowest polymorph ... 1.867 eV per formula unit
N(E_F) ... 4.5 states/eV per cell